# 1
! Ce3BeC2N6, optimized geometry, DFT PBE; values from VASP
&SYSTEM
  ibrav = 0, nat = 12, ntyp = 4
/
ATOMIC_SPECIES
Ce 140.12 Ce.upf
Be 9.01 Be.upf
C 12.01 C.upf
N 14.01 N.upf
ATOMIC_POSITIONS angstrom
Ce 0.000 2.984 4.102
Ce 2.584 1.492 2.180
Ce 0.000 0.000 0.000
Be 0.000 0.000 3.141
C 2.584 1.492 4.598
C 0.000 2.984 1.684
N 1.201 3.677 1.841
N 0.000 1.598 1.841
N -1.201 3.677 1.841
N 2.584 2.878 4.441
N 1.384 0.799 4.441
N 3.785 0.799 4.441
CELL_PARAMETERS angstrom
5.168 0.000 0.000
-2.584 4.476 0.000
0.000 0.000 6.282
! - formation energy without anion corrections (eV per atom) = -0.63

# 2
! Ce2Sm3Co2, optimized geometry, DFT PBE; values from VASP
&SYSTEM
  ibrav = 0, nat = 7, ntyp = 3
/
ATOMIC_SPECIES
Ce 140.12 Ce.upf
Sm 150.36 Sm.upf
Co 58.93 Co.upf
ATOMIC_POSITIONS angstrom
Ce 1.367 2.795 6.091
Ce 0.097 3.113 0.430
Sm 1.764 0.000 -0.395
Sm -1.019 4.716 3.717
Sm 2.483 1.192 2.804
Co -1.698 4.803 0.686
Co 3.162 1.106 5.835
CELL_PARAMETERS angstrom
3.529 -0.001 -0.791
-2.216 5.601 -1.619
0.151 0.308 8.931
! - DFT total energy (eV per atom) = -5.866

# 3
! Y2ZnPd8, optimized geometry, DFT PBE; values from VASP
&SYSTEM
  ibrav = 0, nat = 11, ntyp = 3
/
ATOMIC_SPECIES
Y 88.91 Y.upf
Zn 65.41 Zn.upf
Pd 106.42 Pd.upf
ATOMIC_POSITIONS angstrom
Y 2.244 -1.055 4.197
Y 4.010 -0.081 0.611
Zn -0.166 -2.142 0.804
Pd 4.049 0.945 3.352
Pd 4.551 -2.793 0.041
Pd 4.892 -1.750 2.889
Pd 2.522 0.003 7.075
Pd 1.362 0.615 1.919
Pd 1.702 1.657 4.768
Pd 2.205 -2.080 1.457
Pd 3.732 -1.139 -2.266
CELL_PARAMETERS angstrom
-0.331 -4.284 1.607
5.002 -1.528 -3.042
1.583 4.676 6.244
! - DFT total energy (eV per atom) = -5.651

# 4
! Nd6Tl3Sn, optimized geometry, DFT PBE; values from VASP
&SYSTEM
  ibrav = 0, nat = 20, ntyp = 3
/
ATOMIC_SPECIES
Nd 144.24 Nd.upf
Tl 204.38 Tl.upf
Sn 118.71 Sn.upf
ATOMIC_POSITIONS angstrom
Nd 0.416 -6.064 -3.770
Nd -1.823 -4.247 -6.726
Nd -4.705 -4.849 -4.827
Nd 3.196 -3.650 -8.536
Nd 8.031 -4.061 -4.711
Nd -4.311 -1.544 -7.074
Nd 3.133 -3.678 -4.504
Nd -9.196 -1.331 -6.554
Nd -4.374 -1.563 -3.059
Nd 3.527 -0.364 -6.767
Nd 0.767 -2.579 -1.894
Nd -1.471 -0.762 -4.850
Tl 1.131 -5.612 -7.022
Tl -2.950 -3.683 -9.841
Tl -1.939 -3.805 -3.317
Tl 0.828 -2.294 -6.644
Tl -2.408 1.689 -6.950
Tl 1.673 -0.240 -4.131
Sn -6.681 -3.830 -2.383
Sn 5.617 -2.899 -6.417
CELL_PARAMETERS angstrom
-0.256 3.376 -6.225
8.449 -4.994 -3.056
-9.347 -3.909 -1.735
! - DFT total energy (eV per atom) = -4.248

Mass density / g cm⁻³: 6.14 7.86 9.35 8.25